Computed, not measured: a relaxed Sr2GaCo2O6 crystal at the PBE+U level of DFT.

Cell lengths 5.787, 5.787, 6.161 Å; angles 61.99, 61.99, 60.00 degrees
Positions (direct):
Sr 0.783 0.783 0.652
Sr 0.217 0.217 0.348
Ga 0.000 0.000 0.000
Co 0.430 0.430 0.710
Co 0.570 0.570 0.290
O 0.764 0.764 0.246
O 0.227 0.764 0.246
O 0.764 0.227 0.246
O 0.236 0.773 0.754
O 0.773 0.236 0.754
O 0.236 0.236 0.754

Computed properties:
Electronic total energy in eV per atom: -5.884
M_tot in μB per formula unit: 7.000